The following is a SCAN calculation of YScAu2 at its PBEsol-relaxed geometry, from the Alexandria database.

Its formation energy is -1.068 eV per atom. The calculation puts the energy at -3.3932 Ry per atom. Its density is 10.6 Mg/m³.

Cell: 3.4752 4.8693 4.8693 Å, 90.00 90.00 90.00°
Fractional positions:
Au 0.0000 0.5000 0.0000
Au 0.0000 0.0000 0.5000
Sc 0.5000 0.5000 0.5000
Y 0.5000 0.0000 0.0000


The following is a SCAN calculation of NaTl3Ge at its PBEsol-relaxed geometry, from the Alexandria database.

Its formation energy is 0.611 eV per atom. The calculation puts the energy at -3.4886 Ry per atom. Its density is 7.6 Mg/m³.

Cell: 5.3738 5.3738 5.3738 Å, 90.00 90.00 90.00°
Fractional positions:
Ge 0.5000 0.5000 0.5000
Tl 0.0000 0.5000 0.0000
Tl 0.0000 0.0000 0.5000
Tl 0.5000 0.0000 0.0000
Na 0.0000 0.0000 0.0000


The following is a SCAN calculation of CrPAu2 at its PBEsol-relaxed geometry, from the Alexandria database.

Its formation energy is -0.065 eV per atom. The calculation puts the energy at -3.0751 Ry per atom. Its density is 12.3 Mg/m³.

Cell: 2.8270 3.6619 6.3950 Å, 95.01 102.77 90.00°
Site moments in Bohr magnetons follow the coordinates.
Fractional positions:
Au 0.1825 0.2268 0.3650  0.00
Au 0.8175 0.7732 0.6350  0.00
Cr 0.5000 0.0000 0.0000  2.71
P 0.0000 0.5000 0.0000  -0.18


The following is a SCAN calculation of MgBeAg2 at its PBEsol-relaxed geometry, from the Alexandria database.

Its formation energy is 0.085 eV per atom. The calculation puts the energy at -1.3179 Ry per atom. Its density is 6.7 Mg/m³.

Cell: 2.8959 2.8959 8.6523 Å, 80.37 80.37 60.00°
Fractional positions:
Be 0.5000 0.5000 0.5000
Ag 0.7603 0.7603 0.7191
Ag 0.2397 0.2397 0.2809
Mg 0.0000 0.0000 0.0000